[1]
CrAs2Ru at its PBEsol-relaxed geometry. Source: Alexandria via LeMat-Bulk, functional SCAN.

The structure in extended XYZ format:
```
4
Lattice="2.9684 0.0000 0.0000 0.0000 3.7067 0.0000 0.0000 0.0000 5.2111" Properties=species:S:1:pos:R:3 pbc="T T T"
Cr 0.0000 0.0000 0.0000
As 0.0000 0.0000 2.5916
As 1.4842 1.8534 4.4708
Ru 1.4842 1.8534 1.7839
```

Values from the calculation:
Formation energy from the elements: -0.177 eV/atom
E: -94.3 eV for the cell shown
Energy relative to the lowest polymorph listed for this composition: 0.0 kJ/mol of atoms
Fermi-level density of states: 0.61 states/eV per atom

[2]
CrAsRu3 at its PBEsol-relaxed geometry. Source: Alexandria via LeMat-Bulk, functional SCAN.

The structure in extended XYZ format:
```
5
Lattice="4.3511 0.0000 0.0000 0.0000 4.3511 0.0000 0.0000 0.0000 4.3511" Properties=species:S:1:pos:R:3 pbc="T T T"
Cr 0.0000 0.0000 0.0000
As 2.1756 2.1756 2.1756
Ru 0.0000 0.0000 2.1756
Ru 0.0000 2.1756 0.0000
Ru 2.1756 0.0000 0.0000
```

Values from the calculation:
Formation energy from the elements: 1.342 eV/atom
E: -136.3 eV for the cell shown
Fermi-level density of states: 1.15 states/eV per atom

[3]
Cr3AsS at its PBEsol-relaxed geometry. Source: Alexandria via LeMat-Bulk, functional SCAN.

The structure in extended XYZ format:
```
5
Lattice="4.7170 0.0000 0.0000 0.0000 4.7170 0.0000 0.0000 0.0000 4.7170" Properties=species:S:1:pos:R:3 pbc="T T T"
Cr 0.0000 0.0000 2.3585
Cr 0.0000 2.3585 0.0000
Cr 2.3585 0.0000 0.0000
As 0.0000 0.0000 0.0000
S 2.3585 2.3585 2.3585
```

Values from the calculation:
E: -83.4 eV for the cell shown
Fermi-level density of states: 0.34 states/eV per atom
Raw formation energy: 0.311 eV per atom

[4]
CrAsW2S at its PBEsol-relaxed geometry. Source: Alexandria via LeMat-Bulk, functional SCAN.

The structure in extended XYZ format:
```
5
Lattice="4.3563 0.0000 0.0000 0.0000 4.3563 0.0000 0.0000 0.0000 4.7933" Properties=species:S:1:pos:R:3 pbc="T T T"
Cr 0.0000 0.0000 0.0000
As 2.1782 2.1782 0.0000
W 0.0000 2.1782 2.3967
W 2.1782 0.0000 2.3967
S 2.1782 2.1782 2.3967
```

Values from the calculation:
E: -181.0 eV for the cell shown
Fermi-level density of states: 0.71 states/eV per atom
Raw formation energy: 1.318 eV per atom

[5]
CrSbAs at its PBEsol-relaxed geometry. Source: Alexandria via LeMat-Bulk, functional SCAN.

The structure in extended XYZ format:
```
3
Lattice="0.0000 3.2299 3.2299 3.2299 0.0000 3.2299 3.2299 3.2299 0.0000" Properties=species:S:1:pos:R:3 pbc="T T T"
Cr 0.0000 0.0000 0.0000
Sb 3.2299 3.2299 3.2299
As 4.8449 4.8449 4.8449
```

Values from the calculation:
E: -74.8 eV for the cell shown
Fermi-level density of states: 0.52 states/eV per atom
Raw formation energy: 0.354 eV per atom

[6]
CrSbAsSe2 at its PBEsol-relaxed geometry. Source: Alexandria via LeMat-Bulk, functional SCAN.

The structure in extended XYZ format:
```
5
Lattice="5.2369 0.0000 0.0000 0.0000 5.2369 0.0000 0.0000 0.0000 5.1643" Properties=species:S:1:pos:R:3 pbc="T T T"
Cr 0.0000 0.0000 0.0000
Sb 2.6185 2.6185 2.5822
As 2.6185 2.6185 0.0000
Se 0.0000 2.6185 2.5822
Se 2.6185 0.0000 2.5822
```

Values from the calculation:
E: -112.3 eV for the cell shown
Fermi-level density of states: 0.57 states/eV per atom
Raw formation energy: 0.739 eV per atom

[7]
ScCrAs at its PBEsol-relaxed geometry. Source: Alexandria via LeMat-Bulk, functional SCAN.

The structure in extended XYZ format:
```
3
Lattice="0.0000 3.0292 3.0292 3.0292 0.0000 3.0292 3.0292 3.0292 0.0000" Properties=species:S:1:pos:R:3 pbc="T T T"
Sc 0.0000 0.0000 0.0000
Cr 3.0292 3.0292 3.0292
As 4.5438 4.5438 4.5438
```

Values from the calculation:
Formation energy from the elements: -0.569 eV/atom
E: -54.5 eV for the cell shown
Fermi-level density of states: 0.41 states/eV per atom

[8]
ScCrAs2 at its PBEsol-relaxed geometry. Source: Alexandria via LeMat-Bulk, functional SCAN.

The structure in extended XYZ format:
```
4
Lattice="-1.8745 1.8745 4.8152 1.8745 -1.8745 4.8152 1.8745 1.8745 -4.8152" Properties=species:S:1:pos:R:3 pbc="T T T"
Sc 0.0000 0.0000 0.0000
Cr 1.8745 0.0000 2.4076
As 0.0000 0.0000 4.8152
As 0.0000 1.8745 2.4076
```

Values from the calculation:
Formation energy from the elements: -0.637 eV/atom
E: -75.6 eV for the cell shown
Energy relative to the lowest polymorph listed for this composition: 28.9 kJ/mol of atoms
Fermi-level density of states: 0.44 states/eV per atom

[9]
ScCrAs at its PBEsol-relaxed geometry. Source: Alexandria via LeMat-Bulk, functional SCAN.

The structure in extended XYZ format:
```
3
Lattice="4.1845 0.0000 0.0000 -2.0923 3.6239 0.0000 0.0000 0.0000 3.3118" Properties=species:S:1:pos:R:3 pbc="T T T"
Sc 0.0000 0.0000 0.0000
Cr 2.0923 1.2080 1.6559
As 0.0000 2.4159 1.6559
```

Values from the calculation:
Formation energy from the elements: -0.560 eV/atom
E: -54.5 eV for the cell shown
Fermi-level density of states: 0.43 states/eV per atom

[10]
ScCrAs at its PBEsol-relaxed geometry. Source: Alexandria via LeMat-Bulk, functional SCAN.

The structure in extended XYZ format:
```
3
Lattice="0.0000 3.1519 3.1519 3.1519 0.0000 3.1519 3.1519 3.1519 0.0000" Properties=species:S:1:pos:R:3 pbc="T T T"
Sc 0.0000 0.0000 0.0000
Cr 4.7279 4.7279 4.7279
As 1.5760 1.5760 1.5760
```

Values from the calculation:
Formation energy from the elements: -0.121 eV/atom
E: -53.2 eV for the cell shown
Fermi-level density of states: 0.36 states/eV per atom

[11]
ScCr2As at its PBEsol-relaxed geometry. Source: Alexandria via LeMat-Bulk, functional SCAN.

The structure in extended XYZ format:
```
4
Lattice="4.3628 -1.5254 0.0000 4.3628 1.5254 0.0000 -0.9562 0.0000 4.4284" Properties=species:S:1:pos:R:3 pbc="T T T"
Sc 0.0000 0.0000 0.0000
Cr 1.4469 0.0000 2.9750
Cr 6.3225 0.0000 1.4534
As 3.8847 0.0000 2.2142
```

Values from the calculation:
Formation energy from the elements: -0.061 eV/atom
E: -71.4 eV for the cell shown
Fermi-level density of states: 0.43 states/eV per atom

[12]
ScCrAs2 at its PBEsol-relaxed geometry. Source: Alexandria via LeMat-Bulk, functional SCAN.

The structure in extended XYZ format:
```
4
Lattice="3.7101 0.0000 0.0000 0.0000 3.7101 0.0000 0.0000 0.0000 5.2731" Properties=species:S:1:pos:R:3 pbc="T T T"
Sc 0.0000 0.0000 0.0000
Cr 1.8551 1.8551 2.6313
As 0.0000 0.0000 2.6367
As 1.8551 1.8551 5.2695
```

Values from the calculation:
Formation energy from the elements: -0.856 eV/atom
E: -76.4 eV for the cell shown
Energy relative to the lowest polymorph listed for this composition: 7.8 kJ/mol of atoms
Fermi-level density of states: 0.31 states/eV per atom